[1]
First-principles (PBE) data for an optimized crystal structure of Zr3Al2Ni, as listed in Alexandria via LeMat-Bulk.

Results
space group = No. 191
volume = 21.4 Å³/atom
formation energy from the elements = 0.483 eV per atom

Cell lengths 5.451, 5.451, 4.985 Å; angles 90.00, 90.00, 120.00 degrees
Element x y z (fractional)
Zr1 0.000 0.500 0.500
Zr2 0.500 0.000 0.500
Zr3 0.500 0.500 0.500
Al1 0.333 0.667 0.000
Ni1 0.000 0.000 0.000
Al2 0.667 0.333 0.000

---

[2]
First-principles (PBE) data for an optimized crystal structure of ZrAl6Ni2, as listed in Alexandria via LeMat-Bulk.

Results
space group = No. 189
volume = 15.6 Å³/atom
formation energy from the elements = -0.162 eV per atom

Cell lengths 7.586, 7.586, 2.813 Å; angles 90.00, 90.00, 120.00 degrees
Element x y z (fractional)
Ni1 0.333 0.667 0.000
Al1 0.675 0.675 0.000
Al2 0.000 0.325 0.000
Zr1 0.000 0.000 0.500
Ni2 0.667 0.333 0.000
Al3 0.325 0.000 0.000
Al4 0.626 0.000 0.500
Al5 0.374 0.374 0.500
Al6 0.000 0.626 0.500